# Cs3NdBr6 GGA-PBE relaxed
data_Cs3NdBr6
_cell_length_a 8.555
_cell_length_b 9.060
_cell_length_c 12.179
_cell_angle_alpha 90.00
_cell_angle_beta 88.92
_cell_angle_gamma 90.00
_symmetry_space_group_name_H-M 'P 1'
_symmetry_Int_Tables_number 1
_symmetry_space_group_name_Hall 'P 1'
loop_
_atom_site_label
_atom_site_type_symbol
_atom_site_fract_x
_atom_site_fract_y
_atom_site_fract_z
Cs1 Cs 0.973 0.429 0.745
Cs2 Cs 0.000 0.000 0.500
Br1 Br 0.774 0.675 0.552
Br2 Br 0.121 0.050 0.778
Br3 Br 0.274 0.825 0.052
Br4 Br 0.226 0.325 0.448
Cs3 Cs 0.527 0.929 0.755
Br5 Br 0.879 0.950 0.222
Cs4 Cs 0.500 0.500 0.000
Nd1 Nd 0.500 0.500 0.500
Br6 Br 0.621 0.450 0.278
Br7 Br 0.164 0.266 0.071
Br8 Br 0.379 0.550 0.722
Br9 Br 0.726 0.175 0.948
Br10 Br 0.836 0.734 0.929
Cs5 Cs 0.027 0.571 0.255
Br11 Br 0.336 0.766 0.429
Nd2 Nd 0.000 0.000 0.000
Br12 Br 0.664 0.234 0.571
Cs6 Cs 0.473 0.071 0.245
# Energy relative to the elements, uncorrected = -1.87 eV/atom

# LiZnCdPt GGA-PBE relaxed
data_LiZnCdPt
_cell_length_a 2.889
_cell_length_b 4.759
_cell_length_c 5.011
_cell_angle_alpha 99.07
_cell_angle_beta 90.19
_cell_angle_gamma 107.27
_symmetry_space_group_name_H-M 'P 1'
_symmetry_Int_Tables_number 1
_symmetry_space_group_name_Hall 'P 1'
loop_
_atom_site_label
_atom_site_type_symbol
_atom_site_fract_x
_atom_site_fract_y
_atom_site_fract_z
Pt1 Pt 0.647 0.483 0.390
Zn1 Zn 0.909 0.006 0.185
Li1 Li 0.393 0.971 0.627
Cd1 Cd 0.154 0.496 0.887
# Energy relative to the elements = -357 meV per atom

Number 1: uncorrected energy -3.609 eV/atom, Fermi-level density of states 0.0000 states/eV per atom. Number 2: uncorrected energy -2.893 eV/atom, Fermi-level density of states 0.2352 states/eV per atom.